Material: ZrNiRu2
Method: DFT, PBE
State: optimized geometry

The structure in POSCAR format:
```
ZrNiRu2
1.0
6.243 0.000 0.000
0.000 6.243 0.000
0.000 0.000 6.243
Zr Ni Ru
4 4 8
Direct
0.000 0.000 0.000
0.000 0.500 0.500
0.500 0.000 0.500
0.500 0.500 0.000
0.250 0.250 0.750
0.250 0.750 0.250
0.750 0.250 0.250
0.750 0.750 0.750
0.000 0.000 0.500
0.000 0.500 0.000
0.250 0.250 0.250
0.250 0.750 0.750
0.500 0.000 0.000
0.500 0.500 0.500
0.750 0.250 0.750
0.750 0.750 0.250
```

The calculated total energy comes out at -8.2375 eV per atom. As for the formation energy: -0.1 eV/f.u. For the magnetization, the calculation gives 0.00 μB per cell.



Material: ZrNiRu2
Method: DFT, PBE
State: optimized geometry

The structure in POSCAR format:
```
ZrNiRu2
1.0
9.204 0.000 0.000
0.000 2.973 0.000
-1.124 0.000 4.448
Zr Ni Ru
2 2 4
Direct
0.000 0.000 0.000
0.500 0.500 0.000
0.245 0.000 0.767
0.745 0.500 0.767
0.006 0.500 0.499
0.262 0.500 0.317
0.506 0.000 0.499
0.762 0.000 0.317
```

The calculated total energy comes out at -8.3071 eV per atom. As for the formation energy: -0.3 eV/f.u. For the magnetization, the calculation gives 0.00 μB per cell.



Material: ZrNiRu3
Method: DFT, PBE
State: optimized geometry

The structure in POSCAR format:
```
ZrNiRu3
1.0
4.440 0.000 0.000
0.000 4.440 0.000
0.000 0.000 4.440
Zr Ni Ru
1 1 3
Direct
0.000 0.000 0.000
0.500 0.500 0.500
0.000 0.500 0.500
0.500 0.000 0.500
0.500 0.500 0.000
```

The calculated total energy comes out at -7.5696 eV per atom. The energy above the most stable polymorph in this dataset comes out at 0.000 eV/f.u. As for the formation energy: 4.3 eV/f.u. For the magnetization, the calculation gives 3.85 μB per cell.



Material: ZrNi3Ru
Method: DFT, PBE
State: optimized geometry

The structure in POSCAR format:
```
ZrNi3Ru
1.0
4.468 0.000 0.000
0.000 4.468 0.000
0.000 0.000 4.468
Zr Ni Ru
1 3 1
Direct
0.000 0.000 0.000
0.000 0.000 0.500
0.000 0.500 0.000
0.500 0.000 0.000
0.500 0.500 0.500
```

The calculated total energy comes out at -5.5617 eV per atom. The energy above the most stable polymorph in this dataset comes out at 3.165 eV/f.u. As for the formation energy: 7.4 eV/f.u. For the magnetization, the calculation gives 1.80 μB per cell.



Material: ZrNiRu2
Method: DFT, PBE
State: optimized geometry

The structure in POSCAR format:
```
ZrNiRu2
1.0
3.933 0.000 0.000
0.000 3.933 0.000
0.000 0.000 7.748
Zr Ni Ru
2 2 4
Direct
0.000 0.000 0.000
0.500 0.500 0.500
0.000 0.500 0.250
0.500 0.000 0.750
0.000 0.000 0.500
0.000 0.500 0.750
0.500 0.000 0.250
0.500 0.500 0.000
```

The calculated total energy comes out at -8.3919 eV per atom. As for the formation energy: -0.7 eV/f.u. For the magnetization, the calculation gives 0.00 μB per cell.



Material: Zr2NiRu
Method: DFT, PBE
State: optimized geometry

The structure in POSCAR format:
```
Zr2NiRu
1.0
3.273 0.000 0.000
0.000 4.364 0.000
-1.633 0.000 4.939
Zr Ni Ru
2 1 1
Direct
0.000 0.000 0.000
0.283 0.500 0.569
0.556 0.500 0.112
0.729 0.000 0.462
```

The calculated total energy comes out at -8.4898 eV per atom. The energy above the most stable polymorph in this dataset comes out at 0.117 eV/f.u. As for the formation energy: -1.8 eV/f.u. For the magnetization, the calculation gives 0.00 μB per cell.



Material: Zr2NiRu
Method: DFT, PBE
State: optimized geometry

The structure in POSCAR format:
```
Zr2NiRu
1.0
3.332 0.000 0.000
-1.666 2.886 0.000
0.000 0.000 22.619
Zr Ni Ru
6 3 3
Direct
0.000 0.000 0.247
0.000 0.000 0.753
0.333 0.667 0.419
0.333 0.667 0.914
0.667 0.333 0.086
0.667 0.333 0.581
0.000 0.000 0.500
0.333 0.667 0.167
0.667 0.333 0.833
0.000 0.000 0.000
0.333 0.667 0.667
0.667 0.333 0.333
```

The calculated total energy comes out at -8.1986 eV per atom. The energy above the most stable polymorph in this dataset comes out at 1.282 eV/f.u. As for the formation energy: -0.6 eV/f.u. For the magnetization, the calculation gives 0.00 μB per cell.



Material: ZrNiRu2
Method: DFT, PBE
State: optimized geometry

The structure in POSCAR format:
```
ZrNiRu2
1.0
3.956 0.000 0.000
0.000 3.956 0.000
0.000 0.000 7.714
Zr Ni Ru
2 2 4
Direct
0.000 0.000 0.000
0.500 0.500 0.500
0.000 0.000 0.500
0.500 0.500 0.000
0.000 0.500 0.250
0.000 0.500 0.750
0.500 0.000 0.250
0.500 0.000 0.750
```

The calculated total energy comes out at -8.2946 eV per atom. As for the formation energy: -0.3 eV/f.u. For the magnetization, the calculation gives 0.00 μB per cell.



- Number 4 is which compound?
  ZrNi3Ru



- Among the records above, which one has the lowest formation energy?
  number 6



- What is the formula in the fifth record?
  ZrNiRu2



- What is the magnetization in the seventh record?
  0.00 μB per cell